9
Lattice="8.583 -5.729 0.000 8.583 5.729 0.000 -1.958 0.000 5.687" Properties=species:S:1:pos:R:3 comment="Cs4Rb2TlBi2 (GGA-PBE, relaxed)" formation_energy_ev_per_fu=-1.774 magmom_total_mub_per_fu=0.20 e_tot_ev_per_atom=-1.917 pbc="T T T"
Cs 4.540 3.381 4.856
Cs 10.668 3.381 0.831
Cs 4.540 -3.381 4.856
Cs 10.668 -3.381 0.831
Rb 5.464 0.000 1.975
Rb 9.744 0.000 3.713
Tl -0.979 0.000 2.844
Bi 2.179 0.000 4.034
Bi 13.029 0.000 1.653

***

4
Lattice="2.534 1.463 4.559 -2.534 1.463 4.559 0.000 -2.926 4.559" Properties=species:S:1:pos:R:3 comment="LiPb (GGA-PBE, relaxed)" formation_energy_ev_per_fu=-0.286 magmom_total_mub_per_fu=0.00 e_tot_ev_per_atom=-2.954 pbc="T T T"
Li 0.000 0.000 1.729
Li 0.000 0.000 11.949
Pb 0.000 0.000 5.222
Pb 0.000 0.000 8.456

***

16
Lattice="1.564 -5.331 0.000 1.564 5.331 0.000 0.000 0.000 10.153" Properties=species:S:1:pos:R:3 comment="UMnV2C4 (GGA-PBE, relaxed)" formation_energy_ev_per_fu=-1.478 magmom_total_mub_per_fu=0.44 e_tot_ev_per_atom=-9.634 pbc="T T T"
U 1.564 4.234 7.615
U 1.564 -4.234 2.538
Mn 1.564 3.646 2.538
Mn 1.564 -3.646 7.615
V 1.564 1.340 5.524
V 1.564 1.340 9.706
V 1.564 -1.340 0.447
V 1.564 -1.340 4.629
C 0.000 0.000 0.000
C 0.000 0.000 5.077
C 1.564 2.479 1.157
C 1.564 2.479 3.920
C 1.564 0.674 7.615
C 1.564 -0.674 2.538
C 1.564 -2.479 6.233
C 1.564 -2.479 8.996

***

5
Lattice="3.879 0.000 0.000 0.000 3.879 0.000 0.000 0.000 3.879" Properties=species:S:1:pos:R:3 comment="VCoB3 (GGA-PBE, relaxed)" formation_energy_ev_per_fu=7.203 magmom_total_mub_per_fu=2.32 e_tot_ev_per_atom=-5.811 pbc="T T T"
V 0.000 0.000 0.000
Co 1.940 1.940 1.940
B 0.000 0.000 1.940
B 0.000 1.940 0.000
B 1.940 0.000 0.000

***

10
Lattice="4.275 0.000 0.000 0.000 4.275 0.000 0.000 0.000 10.994" Properties=species:S:1:pos:R:3 comment="Sr2LiZn3Pd4 (GGA-PBE, relaxed)" formation_energy_ev_per_fu=-5.587 magmom_total_mub_per_fu=0.00 e_tot_ev_per_atom=-3.546 pbc="T T T"
Sr 0.000 2.137 2.734
Sr 2.137 0.000 8.260
Li 0.000 0.000 5.497
Zn 0.000 2.137 9.556
Zn 2.137 0.000 1.438
Zn 2.137 2.137 5.497
Pd 0.000 0.000 0.000
Pd 0.000 2.137 6.995
Pd 2.137 0.000 3.999
Pd 2.137 2.137 0.000

***

12
Lattice="-3.558 6.935 3.826 3.558 -6.935 3.826 3.558 6.935 -3.826" Properties=species:S:1:pos:R:3 comment="Ac3CdIr2 (GGA-PBE, relaxed)" formation_energy_ev_per_fu=-3.185 magmom_total_mub_per_fu=0.00 e_tot_ev_per_atom=-5.691 pbc="T T T"
Ac 3.558 -3.020 1.913
Ac 0.000 0.000 1.913
Ac 3.558 3.020 1.913
Ac 0.000 3.915 1.913
Ac 0.000 0.000 5.738
Ac 0.000 9.955 1.913
Cd 3.558 0.000 0.000
Cd 0.000 6.935 0.000
Ir 1.493 1.912 0.000
Ir 1.493 -1.912 3.826
Ir 2.065 8.847 0.000
Ir 2.065 5.023 3.826

***

12
Lattice="7.233 0.000 0.000 -3.616 6.264 0.000 0.000 0.000 11.061" Properties=species:S:1:pos:R:3 comment="CsTi2InBr8 (GGA-PBE, relaxed)" magmom_total_mub_per_fu=2.00 raw_formation_energy_kj_per_mol_fu=-1347 e_tot_ev_per_atom=-3.894 pbc="T T T"
Cs 0.000 0.000 0.000
Ti 0.000 4.176 8.491
Ti 3.616 2.088 2.570
In 0.000 0.000 5.531
Br -1.145 2.159 7.752
Br -1.174 6.176 7.752
Br 0.000 4.176 10.914
Br 1.297 2.071 3.309
Br 2.319 4.193 7.752
Br 3.616 2.088 0.147
Br 4.791 0.088 3.309
Br 4.761 4.105 3.309

***

12
Lattice="4.815 0.000 0.000 0.000 8.949 0.000 0.000 0.000 7.237" Properties=species:S:1:pos:R:3 comment="LaDy3Pt2 (GGA-PBE, relaxed)" formation_energy_ev_per_fu=-5.524 magmom_total_mub_per_fu=0.00 e_tot_ev_per_atom=-6.057 pbc="T T T"
La 0.000 0.713 0.000
La 0.000 8.236 3.618
Dy 0.000 3.032 4.613
Dy 0.000 5.917 0.994
Dy 2.408 1.592 2.553
Dy 2.408 3.772 7.119
Dy 2.408 5.177 3.500
Dy 2.408 7.357 6.171
Pt 0.000 3.083 1.723
Pt 0.000 5.866 5.342
Pt 2.408 1.492 5.387
Pt 2.408 7.457 1.769

***

3
Lattice="3.634 0.000 0.000 -1.817 3.147 0.000 0.000 0.000 7.060" Properties=species:S:1:pos:R:3 comment="Tl2Zn (GGA-PBE, relaxed)" polymorph_energy_mev_per_atom=60 formation_energy_ev_per_fu=0.409 magmom_total_mub_per_fu=0.00 e_tot_ev_per_atom=-1.866 pbc="T T T"
Tl 0.000 2.098 2.146
Tl 1.817 1.049 4.914
Zn 0.000 0.000 0.000

***

5
Lattice="4.936 0.000 0.000 0.000 4.936 0.000 0.000 0.000 4.936" Properties=species:S:1:pos:R:3 comment="ZrSi3Rh (GGA-PBE, relaxed)" magmom_total_mub_per_fu=1.21 raw_formation_energy_kj_per_mol_fu=617 e_tot_ev_per_atom=-5.156 pbc="T T T"
Zr 0.000 0.000 0.000
Si 0.000 0.000 2.468
Si 0.000 2.468 0.000
Si 2.468 0.000 0.000
Rh 2.468 2.468 2.468

***

4
Lattice="-2.433 2.433 5.388 2.433 -2.433 5.388 2.433 2.433 -5.388" Properties=species:S:1:pos:R:3 comment="Ba2BeAg (GGA-PBE, relaxed)" formation_energy_ev_per_fu=1.541 magmom_total_mub_per_fu=0.00 e_tot_ev_per_atom=-2.220 pbc="T T T"
Ba 0.000 0.000 0.000
Ba 0.000 2.433 2.694
Be 2.433 0.000 2.694
Ag 0.000 0.000 5.388

***

8
Lattice="-2.191 2.191 10.340 2.191 -2.191 10.340 2.191 2.191 -10.340" Properties=species:S:1:pos:R:3 comment="HfBi2Mo (GGA-PBE, relaxed)" polymorph_energy_mev_per_atom=326 formation_energy_ev_per_fu=2.670 magmom_total_mub_per_fu=0.00 e_tot_ev_per_atom=-6.469 pbc="T T T"
Hf 0.000 0.000 0.000
Hf 0.000 2.191 5.170
Bi 1.095 -1.063 7.755
Bi 1.128 1.095 2.585
Bi 1.095 3.254 -2.585
Bi 1.063 1.095 12.926
Mo 2.191 0.000 5.170
Mo 0.000 0.000 10.340

***

Copy entry 1 word for word.
9
Lattice="8.583 -5.729 0.000 8.583 5.729 0.000 -1.958 0.000 5.687" Properties=species:S:1:pos:R:3 comment="Cs4Rb2TlBi2 (GGA-PBE, relaxed)" formation_energy_ev_per_fu=-1.774 magmom_total_mub_per_fu=0.20 e_tot_ev_per_atom=-1.917 pbc="T T T"
Cs 4.540 3.381 4.856
Cs 10.668 3.381 0.831
Cs 4.540 -3.381 4.856
Cs 10.668 -3.381 0.831
Rb 5.464 0.000 1.975
Rb 9.744 0.000 3.713
Tl -0.979 0.000 2.844
Bi 2.179 0.000 4.034
Bi 13.029 0.000 1.653